Entry from Alexandria via LeMat-Bulk: crystalline VRhO4 at its relaxed geometry (PBE with a Hubbard U).

Unit cell a=4.5581 b=4.5581 c=3.0688 alpha=90.00 beta=90.00 gamma=90.09
Closest atoms and distances in Å follow each position.
Element x y z (fractional)
V 0.0000 0.0000 0.0000  6 O 1.94-1.97
Rh 0.5000 0.5000 0.5000  6 O 1.99-2.00
O 0.1914 0.1914 0.5000  2 V 1.97, 1 Rh 1.99
O 0.3010 0.6990 0.0000  1 V 1.94, 2 Rh 2.00
O 0.6990 0.3010 0.0000  1 V 1.94, 2 Rh 2.00
O 0.8086 0.8086 0.5000  2 V 1.97, 1 Rh 1.99

Properties
Fermi-level density of states ... 0.383 states/eV per atom
SG ... Cmmm (65)
Crystal system ... orthorhombic
E_tot ... -7.127 eV per atom
Calculated volume ... 64 Å³/cell